--- one ---
Density functional theory data (GGA-PBE) for an optimized crystal structure of RbYAlAu.

a = 5.1265 Å, b = 5.1265 Å, c = 5.1265 Å
α = 60.00°, β = 60.00°, γ = 60.00°
Closest atoms and distances in Å follow each position.
Fractional coordinates of all 4 atoms:
Al (0.5000, 0.5000, 0.5000)  4 Au 3.14, 4 Rb 3.14
Au (0.7500, 0.7500, 0.7500)  4 Al 3.14, 4 Y 3.14
Rb (0.2500, 0.2500, 0.2500)  4 Y 3.14, 4 Al 3.14
Y (0.0000, 0.0000, 0.0000)  4 Rb 3.14, 4 Au 3.14

Summary:
The value obtained for the calculated density is 6.94 Mg/m³. The value obtained for the total magnetization is 0.0 μB per cell.


--- two ---
Density functional theory data (GGA-PBE) for an optimized crystal structure of RbYAlAu.

a = 5.1994 Å, b = 5.1994 Å, c = 5.1994 Å
α = 60.00°, β = 60.00°, γ = 60.00°
Closest atoms and distances in Å follow each position.
Fractional coordinates of all 4 atoms:
Al (0.0000, 0.0000, 0.0000)  4 Y 3.18, 4 Au 3.18
Au (0.7500, 0.7500, 0.7500)  4 Rb 3.18, 4 Al 3.18
Rb (0.5000, 0.5000, 0.5000)  4 Au 3.18, 4 Y 3.18
Y (0.2500, 0.2500, 0.2500)  4 Al 3.18, 4 Rb 3.18

Summary:
The value obtained for the calculated density is 6.65 Mg/m³. The value obtained for the total magnetization is 0.0 μB per cell.


--- three ---
Density functional theory data (GGA-PBE) for an optimized crystal structure of RbYAlAu.

a = 5.3971 Å, b = 5.3971 Å, c = 5.3971 Å
α = 60.00°, β = 60.00°, γ = 60.00°
Closest atoms and distances in Å follow each position.
Fractional coordinates of all 4 atoms:
Al (0.2500, 0.2500, 0.2500)  4 Rb 3.31, 4 Y 3.31
Au (0.7500, 0.7500, 0.7500)  4 Rb 3.31, 4 Y 3.31
Rb (0.5000, 0.5000, 0.5000)  4 Au 3.31, 4 Al 3.31
Y (0.0000, 0.0000, 0.0000)  4 Au 3.31, 4 Al 3.31

Summary:
The value obtained for the calculated density is 5.95 Mg/m³. The value obtained for the total magnetization is 0.0 μB per cell.


Decreasing stability: one, three, two